{"formula": "BaV4O9", "functional": "GGA+U", "state": "relaxed", "magmom_total_mub_per_fu": 4.000, "density_g_cm3": 4.5, "volume_a3_per_atom": 12.8, "energy_ev_per_atom": -7.6206, "lattice": [[7.903, 0.000, 0.000], [0.000, 5.093, 0.000], [-3.526, 0.000, 8.906]], "species": ["Ba", "Ba", "V", "V", "V", "V", "V", "V", "V", "V", "O", "O", "O", "O", "O", "O", "O", "O", "O", "O", "O", "O", "O", "O", "O", "O", "O", "O"], "frac_coords": [[0.000, 0.171, 0.250], [0.000, 0.829, 0.750], [0.307, 0.242, 0.653], [0.307, 0.758, 0.153], [0.448, 0.257, 0.055], [0.448, 0.743, 0.555], [0.552, 0.257, 0.445], [0.552, 0.743, 0.945], [0.693, 0.242, 0.847], [0.693, 0.758, 0.347], [0.119, 0.373, 0.661], [0.119, 0.627, 0.161], [0.230, 0.065, 0.064], [0.230, 0.935, 0.564], [0.326, 0.403, 0.475], [0.326, 0.597, 0.975], [0.413, 0.077, 0.851], [0.413, 0.923, 0.351], [0.500, 0.476, 0.250], [0.500, 0.524, 0.750], [0.587, 0.077, 0.649], [0.587, 0.923, 0.149], [0.674, 0.403, 0.025], [0.674, 0.597, 0.525], [0.770, 0.065, 0.436], [0.770, 0.935, 0.936], [0.881, 0.373, 0.839], [0.881, 0.627, 0.339]]}